[1]
The following is a meta-GGA SCAN calculation of a crystal of LiFeMo2 relaxed with PBEsol, from the Alexandria database.

Properties
* DFT formation energy: 0.52 eV per atom

Cell lengths 2.748, 2.748, 7.062 Å; angles 90.00, 90.00, 90.00 degrees
Fractional positions:
1 Li 0.000 0.000 0.000
2 Fe 0.500 0.500 0.783
3 Mo 0.000 0.000 0.585
4 Mo 0.500 0.500 0.275

***

[2]
The following is a meta-GGA SCAN calculation of a crystal of LiFeMo2 relaxed with PBEsol, from the Alexandria database.

Properties
* DFT formation energy: 0.46 eV per atom

Cell lengths 3.180, 3.180, 5.261 Å; angles 90.00, 90.00, 90.00 degrees
Fractional positions:
1 Li 0.000 0.000 0.000
2 Fe 0.000 0.000 0.500
3 Mo 0.500 0.500 0.270
4 Mo 0.500 0.500 0.730

***

[3]
The following is a meta-GGA SCAN calculation of a crystal of Na2LiFeMo relaxed with PBEsol, from the Alexandria database.

Properties
* DFT formation energy: 1.78 eV per atom

Cell lengths 5.560, 5.560, 4.950 Å; angles 90.00, 90.00, 90.00 degrees
Fractional positions:
1 Na 0.000 0.500 0.000
2 Na 0.500 0.000 0.000
3 Li 0.000 0.000 0.500
4 Fe 0.500 0.500 0.500
5 Mo 0.000 0.000 0.000

***

[4]
The following is a meta-GGA SCAN calculation of a crystal of LiFeN3 relaxed with PBEsol, from the Alexandria database.

Properties
* ΔE_f (raw): 782 meV/atom

Cell lengths 3.629, 3.629, 3.629 Å; angles 90.00, 90.00, 90.00 degrees
Fractional positions:
1 Li 0.000 0.000 0.000
2 Fe 0.500 0.500 0.500
3 N 0.000 0.500 0.500
4 N 0.500 0.000 0.500
5 N 0.500 0.500 0.000

***

[5]
The following is a meta-GGA SCAN calculation of a crystal of LiFeN2 relaxed with PBEsol, from the Alexandria database.

Properties
* ΔE_f (raw): -197 meV/atom

Cell lengths 5.133, 5.133, 5.133 Å; angles 127.79, 127.79, 76.97 degrees
Fractional positions:
1 Li 0.000 0.000 0.000
2 Li 0.750 0.250 0.500
3 Fe 0.250 0.750 0.500
4 Fe 0.500 0.500 0.000
5 N 0.191 0.625 0.066
6 N 0.375 0.441 0.566
7 N 0.559 0.125 0.934
8 N 0.875 0.809 0.434

***

[6]
The following is a meta-GGA SCAN calculation of a crystal of LiFeN relaxed with PBEsol, from the Alexandria database.

Properties
* ΔE_f (raw): -334 meV/atom

Cell lengths 2.842, 4.598, 4.252 Å; angles 90.00, 90.00, 90.00 degrees
Fractional positions:
1 Li 0.000 0.005 0.000
2 Li 0.500 0.995 0.500
3 Fe 0.000 0.478 0.682
4 Fe 0.500 0.522 0.182
5 N 0.000 0.712 0.347
6 N 0.500 0.288 0.847

***

[7]
The following is a meta-GGA SCAN calculation of a crystal of LiFeN2 relaxed with PBEsol, from the Alexandria database.

Properties
* ΔE_f (raw): 55 meV/atom

Cell lengths 6.062, 6.062, 6.062 Å; angles 26.45, 26.45, 26.45 degrees
Fractional positions:
1 Li 0.000 0.000 0.000
2 Fe 0.500 0.500 0.500
3 N 0.106 0.106 0.106
4 N 0.894 0.894 0.894

***

[8]
The following is a meta-GGA SCAN calculation of a crystal of LiFeN relaxed with PBEsol, from the Alexandria database.

Properties
* ΔE_f (raw): -316 meV/atom

Cell lengths 9.271, 2.846, 4.255 Å; angles 90.00, 90.00, 90.00 degrees
Fractional positions:
1 Li 0.001 0.250 0.238
2 Li 0.499 0.750 0.738
3 Li 0.501 0.250 0.262
4 Li 0.999 0.750 0.762
5 Fe 0.242 0.750 0.043
6 Fe 0.258 0.250 0.543
7 Fe 0.742 0.750 0.457
8 Fe 0.758 0.250 0.957
9 N 0.146 0.250 0.884
10 N 0.354 0.750 0.384
11 N 0.646 0.250 0.616
12 N 0.854 0.750 0.116